Here is Sc4ReMo at its PBEsol-relaxed geometry from Alexandria via LeMat-Bulk. Energies are from SCAN.

Output
The total energy comes out at -26.381 eV/atom. As for the symmetry: No. 216. The formation energy is 0.77 eV/atom. As for the size of the total moment: 0.0 μB/cell.

Lattice parameters (Å, degrees): 5.359 5.359 5.359 60.00 60.00 60.00
Fractional coordinates of all 6 atoms:
1 Mo 0.750 0.750 0.750
2 Re 0.000 0.000 0.000
3 Sc 0.375 0.375 0.375
4 Sc 0.375 0.375 0.876
5 Sc 0.876 0.375 0.375
6 Sc 0.375 0.876 0.375

***

Here is ZrNiAg at its PBEsol-relaxed geometry from Alexandria via LeMat-Bulk. Energies are from SCAN.

Output
The total energy comes out at -26.064 eV/atom. As for the symmetry: No. 216. The formation energy is 0.02 eV/atom. As for the size of the total moment: 0.0 μB/cell.

Lattice parameters (Å, degrees): 4.244 4.244 4.244 60.00 60.00 60.00
Fractional coordinates of all 3 atoms:
1 Ag 0.500 0.500 0.500
2 Ni 0.250 0.250 0.250
3 Zr 0.000 0.000 0.000

***

Here is NdAl2Si2 at its PBEsol-relaxed geometry from Alexandria via LeMat-Bulk. Energies are from SCAN.

Output
The total energy comes out at -16.244 eV/atom. As for the symmetry: No. 164. As for the size of the total moment: 0.0 μB/cell. Its formation energy (no corrections) is -420 meV per atom.

Lattice parameters (Å, degrees): 4.201 4.201 6.732 90.00 90.00 120.00
Fractional coordinates of all 5 atoms:
1 Si 0.667 0.333 0.734
2 Si 0.333 0.667 0.266
3 Nd 0.000 0.000 0.000
4 Al 0.667 0.333 0.359
5 Al 0.333 0.667 0.641

***

Here is AlTcTe2N at its PBEsol-relaxed geometry from Alexandria via LeMat-Bulk. Energies are from SCAN.

Output
The total energy comes out at -25.086 eV/atom. As for the symmetry: No. 123. As for the size of the total moment: 0.0 μB/cell. Its formation energy (no corrections) is 235 meV per atom.

Lattice parameters (Å, degrees): 3.643 5.365 5.365 90.00 90.00 90.00
Fractional coordinates of all 5 atoms:
1 N 0.500 0.000 0.000
2 Te 0.000 0.000 0.500
3 Te 0.000 0.500 0.000
4 Tc 0.000 0.000 0.000
5 Al 0.500 0.500 0.500

***

Here is NiHgP2 at its PBEsol-relaxed geometry from Alexandria via LeMat-Bulk. Energies are from SCAN.

Output
The total energy comes out at -26.124 eV/atom. As for the symmetry: No. 123. The formation energy is 0.16 eV/atom. As for the size of the total moment: 0.0 μB/cell.

Lattice parameters (Å, degrees): 2.956 2.956 7.846 90.00 90.00 90.00
Fractional coordinates of all 4 atoms:
1 Hg 0.500 0.500 0.000
2 Ni 0.500 0.500 0.500
3 P 0.000 0.000 0.649
4 P 0.000 0.000 0.351

***

Here is Ta3RhAu at its PBEsol-relaxed geometry from Alexandria via LeMat-Bulk. Energies are from SCAN.

Output
The total energy comes out at -58.692 eV/atom. As for the symmetry: No. 221. The formation energy is 1.84 eV/atom. As for the size of the total moment: 0.0 μB/cell.

Lattice parameters (Å, degrees): 4.808 4.808 4.808 90.00 90.00 90.00
Fractional coordinates of all 5 atoms:
1 Rh 0.500 0.500 0.500
2 Au 0.000 0.000 0.000
3 Ta 0.000 0.500 0.000
4 Ta 0.000 0.000 0.500
5 Ta 0.500 0.000 0.000

***

Here is ZrAg3 at its PBEsol-relaxed geometry from Alexandria via LeMat-Bulk. Energies are from SCAN.

Output
The total energy comes out at -31.220 eV/atom. As for the symmetry: No. 65. The formation energy is -0.02 eV/atom. As for the size of the total moment: 0.0 μB/cell.

Lattice parameters (Å, degrees): 2.899 2.899 8.405 90.00 90.00 89.74
Fractional coordinates of all 4 atoms:
1 Zr 0.500 0.500 0.000
2 Ag 0.000 0.000 0.738
3 Ag 0.000 0.000 0.262
4 Ag 0.500 0.500 0.500

***

Here is OsRhW2 at its PBEsol-relaxed geometry from Alexandria via LeMat-Bulk. Energies are from SCAN.

Output
The total energy comes out at -61.324 eV/atom. The relative energy among the computed polymorphs comes out at 16 meV per atom. As for the symmetry: No. 65. The formation energy is -0.07 eV/atom. As for the size of the total moment: 0.0 μB/cell.

Lattice parameters (Å, degrees): 2.754 4.743 4.743 108.99 90.00 90.00
Fractional coordinates of all 4 atoms:
1 Rh 0.500 0.000 0.000
2 Os 0.500 0.500 0.500
3 W 0.000 0.000 0.500
4 W 0.000 0.500 0.000

***

| no. | mass density (g cm⁻³) |
| --- | --- |
| 1 | 7.05 |
| 2 | 7.92 |
| 3 | 4.11 |
| 4 | 6.24 |
| 5 | 7.78 |
| 6 | 12.59 |
| 7 | 9.75 |
| 8 | 18.73 |